# Ir2PdPb PBE relaxed
data_Ir2PdPb
_chemical_formula_sum 'Ir8 Pd4 Pb4'
_cell_length_a 3.9660
_cell_length_b 3.9660
_cell_length_c 19.3109
_cell_angle_alpha 90.00
_cell_angle_beta 90.00
_cell_angle_gamma 90.00
_space_group_name_H-M_alt 'I -4 2 d'
_space_group_IT_number 122
_space_group_name_Hall 'I -4 2bw'
loop_
_atom_site_label
_atom_site_fract_x
_atom_site_fract_y
_atom_site_fract_z
Ir1 0.1914 0.2500 0.1250
Pd1 0.0000 0.0000 0.0000
Pb1 0.0000 0.0000 0.5000
# E_form in kJ/mol of formula units: 201